A plane-wave DFT calculation with PBE+U was carried out for crystalline K3V5O14 at its relaxed geometry.

Results
E (eV per atom): -6.9604
Density (g cm⁻³): 2.8

The structure in CIF format:
```
data_K3V5O14
_chemical_formula_sum 'K3 V5 O14'
_cell_length_a 8.7895
_cell_length_b 8.7895
_cell_length_c 5.3159
_cell_angle_alpha 90.00
_cell_angle_beta 90.00
_cell_angle_gamma 120.00
_symmetry_space_group_name_H-M 'P 1'
_symmetry_Int_Tables_number 1
loop_
_symmetry_equiv_pos_as_xyz
'x,y,z'
loop_
_atom_site_label
_atom_site_type_symbol
_atom_site_fract_x
_atom_site_fract_y
_atom_site_fract_z
K1 K 0.6086 0.0000 0.0043
K2 K 0.0000 0.6086 0.0043
K3 K 0.3914 0.3914 0.0043
V1 V 0.3333 0.6667 0.4679
V2 V 0.6667 0.3333 0.4679
V3 V 0.2281 0.0000 0.4738
V4 V 0.0000 0.2281 0.4738
V5 V 0.7719 0.7719 0.4738
O1 O 0.3333 0.6667 0.7807
O2 O 0.6667 0.3333 0.7807
O3 O 0.2460 0.0000 0.7801
O4 O 0.0000 0.2460 0.7801
O5 O 0.7540 0.7540 0.7801
O6 O 0.8307 0.0000 0.4035
O7 O 0.0000 0.8307 0.4035
O8 O 0.1693 0.1693 0.4035
O9 O 0.4612 0.1683 0.3517
O10 O 0.8317 0.2929 0.3517
O11 O 0.7071 0.5388 0.3517
O12 O 0.1683 0.4612 0.3517
O13 O 0.2929 0.8317 0.3517
O14 O 0.5388 0.7071 0.3517
```